# PBEsol Li2MnAl2O6, relaxed
data_Li2MnAl2O6
_chemical_formula_sum 'Li8 Mn4 Al8 O24'
_cell_length_a 8.3714
_cell_length_b 4.8922
_cell_length_c 9.9791
_cell_angle_alpha 90.00
_cell_angle_beta 90.00
_cell_angle_gamma 90.00
_space_group_name_H-M_alt 'C m c e'
_space_group_IT_number 64
_space_group_name_Hall '-C 2ac 2'
loop_
_atom_site_label
_atom_site_type_symbol
_atom_site_fract_x
_atom_site_fract_y
_atom_site_fract_z
_atom_site_occupancy
Li1 Li 0.2500 0.1026 0.2500 1
Mn1 Mn 0.0000 0.0000 0.0000 1
Al1 Al 0.1635 0.0000 0.5000 1
O1 O 0.0000 0.1710 0.5966 1
O2 O 0.1708 0.1617 0.8974 1
# DOS at the Fermi energy	0.00	states/eV per cell
# raw total energy	-7.257	eV/atom
# total magnetization	3.000	μB/f.u.